[1]
! GGA-PBE TmBeAu, optimized geometry; values from VASP
! **E above lowest polymorph**: 0 meV/atom
! **Calculated volume**: 19.19 A^3/atom
! **Uncorrected energy**: -4.02 eV/atom
! **Space-group type**: No. 216
! **Crystal system**: cubic
! **M_tot**: 0.0236 μB/atom
&SYSTEM
  ibrav = 0, nat = 3, ntyp = 3
/
ATOMIC_SPECIES
Au 196.97 Au.upf
Be 9.01 Be.upf
Tm 168.93 Tm.upf
CELL_PARAMETERS angstrom
0.538 1.135 4.148
-0.496 4.136 1.196
-3.422 1.170 2.388
ATOMIC_POSITIONS crystal
Au 0.250 0.250 0.250
Be 0.000 0.000 0.000
Tm 0.750 0.750 0.750


[2]
! GGA-PBE BeWAu, optimized geometry; values from VASP
! **E above lowest polymorph**: 459 meV/atom
! **Calculated volume**: 17.63 A^3/atom
! **Uncorrected energy**: -5.49 eV/atom
! **Space-group type**: No. 216
! **Crystal system**: cubic
! **M_tot**: 0.0007 μB/atom
&SYSTEM
  ibrav = 0, nat = 3, ntyp = 3
/
ATOMIC_SPECIES
Au 196.97 Au.upf
Be 9.01 Be.upf
W 183.84 W.upf
CELL_PARAMETERS angstrom
-2.346 -0.988 3.358
-3.682 -1.984 -0.512
-0.405 -4.026 1.176
ATOMIC_POSITIONS crystal
Au 0.250 0.250 0.250
Be 0.750 0.750 0.750
W 0.000 0.000 0.000


[3]
! GGA-PBE BeWAu2, optimized geometry; values from VASP
! **Calculated volume**: 15.53 A^3/atom
! **Uncorrected energy**: -5.20 eV/atom
! **Space-group type**: No. 216
! **Crystal system**: cubic
! **M_tot**: 0.2807 μB/atom
&SYSTEM
  ibrav = 0, nat = 4, ntyp = 3
/
ATOMIC_SPECIES
Au 196.97 Au.upf
Be 9.01 Be.upf
W 183.84 W.upf
CELL_PARAMETERS angstrom
0.853 -3.826 2.097
-2.151 -3.708 -1.178
2.172 -3.255 -2.109
ATOMIC_POSITIONS crystal
Au 0.000 0.000 0.000
Au 0.750 0.750 0.750
Be 0.500 0.500 0.500
W 0.250 0.250 0.250